1.
First-principles (GGA-PBE) data for a relaxed CsYEr4S8 crystal, as listed in Alexandria.

Results
Fermi-level density of states = 0.0 states/eV/cell
Magnetization = 0.00 μB/cell
ΔE_f (raw) = -1854.3 meV/atom
Density = 4.73 Mg/m³
SG = No. 160

Geometry as CIF:
```
data_CsYEr4S8
_chemical_formula_sum 'Cs1 Y1 Er4 S8'
_cell_length_a 8.3254
_cell_length_b 8.3254
_cell_length_c 8.3254
_cell_angle_alpha 59.46
_cell_angle_beta 59.46
_cell_angle_gamma 59.46
_symmetry_space_group_name_H-M 'P 1'
_symmetry_Int_Tables_number 1
_symmetry_space_group_name_Hall 'P 1'
loop_
_atom_site_label
_atom_site_type_symbol
_atom_site_fract_x
_atom_site_fract_y
_atom_site_fract_z
_atom_site_occupancy
Cs1 Cs 0.0000 0.0000 0.0000 1
Y1 Y 0.3661 0.3661 0.3661 1
Er1 Er 0.3675 0.3675 0.8850 1
Er2 Er 0.3675 0.8850 0.3675 1
Er3 Er 0.7463 0.7463 0.7463 1
Er4 Er 0.8850 0.3675 0.3675 1
S1 S 0.1406 0.1406 0.5574 1
S2 S 0.1406 0.5574 0.1406 1
S3 S 0.1414 0.6150 0.6150 1
S4 S 0.1449 0.1449 0.1449 1
S5 S 0.5574 0.1406 0.1406 1
S6 S 0.6150 0.1414 0.6150 1
S7 S 0.6150 0.6150 0.1414 1
S8 S 0.6149 0.6149 0.6149 1
```

=====

2.
First-principles (GGA-PBE) data for a relaxed KRb2Sn crystal, as listed in Alexandria.

Results
ΔE_f = 0.137 eV/atom
Fermi-level density of states = 5.3 states/eV/cell
Magnetization = 0.00 μB/cell
Density = 2.58 Mg/m³
SG = No. 122

Geometry as CIF:
```
data_KRb2Sn
_chemical_formula_sum 'K2 Rb4 Sn2'
_cell_length_a 14.0286
_cell_length_b 14.0286
_cell_length_c 14.0286
_cell_angle_alpha 156.92
_cell_angle_beta 156.92
_cell_angle_gamma 32.86
_symmetry_space_group_name_H-M 'P 1'
_symmetry_Int_Tables_number 1
_symmetry_space_group_name_Hall 'P 1'
loop_
_atom_site_label
_atom_site_type_symbol
_atom_site_fract_x
_atom_site_fract_y
_atom_site_fract_z
_atom_site_occupancy
K1 K 0.0000 0.0000 0.0000 1
K2 K 0.7500 0.2500 0.5000 1
Rb1 Rb 0.1436 0.6250 0.0186 1
Rb2 Rb 0.3750 0.3936 0.5186 1
Rb3 Rb 0.6064 0.1250 0.9814 1
Rb4 Rb 0.8750 0.8564 0.4814 1
Sn1 Sn 0.2500 0.7500 0.5000 1
Sn2 Sn 0.5000 0.5000 0.0000 1
```

=====

3.
First-principles (GGA-PBE) data for a relaxed BeFeCo2 crystal, as listed in Alexandria.

Results
ΔE_f = -0.037 eV/atom
Fermi-level density of states = 3.8 states/eV/cell
Magnetization = 4.88 μB/cell
Density = 7.39 Mg/m³
SG = No. 47

Geometry as CIF:
```
data_BeFeCo2
_chemical_formula_sum 'Be1 Fe1 Co2'
_cell_length_a 2.7423
_cell_length_b 3.8208
_cell_length_c 3.9168
_cell_angle_alpha 90.00
_cell_angle_beta 90.00
_cell_angle_gamma 90.00
_symmetry_space_group_name_H-M 'P 1'
_symmetry_Int_Tables_number 1
_symmetry_space_group_name_Hall 'P 1'
loop_
_atom_site_label
_atom_site_type_symbol
_atom_site_fract_x
_atom_site_fract_y
_atom_site_fract_z
_atom_site_occupancy
Be1 Be 0.0000 0.0000 0.0000 1
Fe1 Fe 0.5000 0.0000 0.5000 1
Co1 Co 0.0000 0.5000 0.5000 1
Co2 Co 0.5000 0.5000 0.0000 1
```

=====

- Which value of density does entry 3 give?
  7.39 Mg/m³

=====

Copy entry 3 word for word.
First-principles (GGA-PBE) data for a relaxed BeFeCo2 crystal, as listed in Alexandria.

Results
ΔE_f = -0.037 eV/atom
Fermi-level density of states = 3.8 states/eV/cell
Magnetization = 4.88 μB/cell
Density = 7.39 Mg/m³
SG = No. 47

Geometry as CIF:
```
data_BeFeCo2
_chemical_formula_sum 'Be1 Fe1 Co2'
_cell_length_a 2.7423
_cell_length_b 3.8208
_cell_length_c 3.9168
_cell_angle_alpha 90.00
_cell_angle_beta 90.00
_cell_angle_gamma 90.00
_symmetry_space_group_name_H-M 'P 1'
_symmetry_Int_Tables_number 1
_symmetry_space_group_name_Hall 'P 1'
loop_
_atom_site_label
_atom_site_type_symbol
_atom_site_fract_x
_atom_site_fract_y
_atom_site_fract_z
_atom_site_occupancy
Be1 Be 0.0000 0.0000 0.0000 1
Fe1 Fe 0.5000 0.0000 0.5000 1
Co1 Co 0.0000 0.5000 0.5000 1
Co2 Co 0.5000 0.5000 0.0000 1
```